(1)
## Pm12Ge5Sb2 (PBE-GGA)

Data for a geometry-optimized Pm12Ge5Sb2 structure.

Computed properties:
The density of states at the Fermi level comes out at 20.25 states/eV/cell. Its space-group type is C2/m (12). The value obtained for the total energy is -98.4 eV per cell. Its spin magnetization is 0.0 μB/f.u.

Cell: 7.700 9.306 9.632 Å, 104.16 90.00 114.44°
Positions (direct):
Pm 0.597 0.714 0.446
Pm 0.455 0.368 0.107
Pm 0.507 0.014 0.245
Ge 0.294 0.588 0.638
Ge 0.000 0.000 0.500
Sb 0.765 0.000 0.000
Pm 0.912 0.368 0.107
Ge 0.324 0.649 0.176
Pm 0.403 0.286 0.554
Ge 0.706 0.412 0.362
Pm 0.077 0.154 0.807
Pm 0.545 0.632 0.893
Pm 0.923 0.846 0.193
Pm 0.088 0.632 0.893
Pm 0.883 0.286 0.554
Ge 0.676 0.351 0.824
Pm 0.493 0.986 0.755
Pm 0.117 0.714 0.446
Sb 0.235 0.000 0.000



(2)
## Dy2Hg2Pd3 (PBE-GGA)

Data for a geometry-optimized Dy2Hg2Pd3 structure.

Computed properties:
For the formation energy, the calculation gives -4.73 eV/f.u. The density of states at the Fermi level comes out at 2.90 states/eV/cell. Its space-group type is C2/m (12). Its spin magnetization is 0.0 μB/f.u.

Cell: 4.258 7.300 5.363 Å, 104.59 113.39 90.00°
Positions (direct):
Dy 0.374 0.202 0.749
Pd 0.672 0.199 0.344
Hg 0.876 0.572 0.752
Pd 0.328 0.801 0.656
Pd 0.000 0.000 0.000
Hg 0.124 0.428 0.248
Dy 0.626 0.798 0.251



(3)
## Pr2In3Pd5 (PBE-GGA)

Data for a geometry-optimized Pr2In3Pd5 structure.

Computed properties:
For the formation energy, the calculation gives -6.07 eV/f.u. The density of states at the Fermi level comes out at 14.33 states/eV/cell. Its space-group type is Ibam (72). Its spin magnetization is 0.0 μB/f.u.

Cell: 5.928 9.211 9.211 Å, 71.98 71.23 71.23°
Positions (direct):
Pd 0.750 0.500 0.500
Pr 0.130 0.608 0.131
Pd 0.551 0.199 0.199
Pd 0.250 0.500 0.500
Pd 0.449 0.801 0.801
Pr 0.370 0.869 0.392
Pd 0.949 0.801 0.801
Pd 0.051 0.199 0.199
Pd 0.402 0.279 0.917
Pr 0.630 0.131 0.608
In 0.250 0.000 0.000
In 0.651 0.433 0.266
In 0.151 0.266 0.433
Pr 0.870 0.392 0.869
Pd 0.598 0.721 0.083
Pd 0.098 0.083 0.721
In 0.750 0.000 0.000
Pd 0.902 0.917 0.279
In 0.849 0.734 0.567
In 0.349 0.567 0.734



Please write out number 1 again, unchanged.
## Pm12Ge5Sb2 (PBE-GGA)

Data for a geometry-optimized Pm12Ge5Sb2 structure.

Computed properties:
The density of states at the Fermi level comes out at 20.25 states/eV/cell. Its space-group type is C2/m (12). The value obtained for the total energy is -98.4 eV per cell. Its spin magnetization is 0.0 μB/f.u.

Cell: 7.700 9.306 9.632 Å, 104.16 90.00 114.44°
Positions (direct):
Pm 0.597 0.714 0.446
Pm 0.455 0.368 0.107
Pm 0.507 0.014 0.245
Ge 0.294 0.588 0.638
Ge 0.000 0.000 0.500
Sb 0.765 0.000 0.000
Pm 0.912 0.368 0.107
Ge 0.324 0.649 0.176
Pm 0.403 0.286 0.554
Ge 0.706 0.412 0.362
Pm 0.077 0.154 0.807
Pm 0.545 0.632 0.893
Pm 0.923 0.846 0.193
Pm 0.088 0.632 0.893
Pm 0.883 0.286 0.554
Ge 0.676 0.351 0.824
Pm 0.493 0.986 0.755
Pm 0.117 0.714 0.446
Sb 0.235 0.000 0.000